Crystalline TaCuAg at its relaxed geometry, computed with GGA-PBE.

Summary:
* size of the total moment: 0.00 μB per formula unit
* calculated volume: 53 Å³/f.u.
* DFT formation energy: 2.039 eV per formula unit

POSCAR file:
```
TaCuAg
1.0
4.2171 0.0000 0.0000
2.1086 3.6521 0.0000
2.1086 1.2174 3.4433
Ag Cu Ta
1 1 1
Direct
0.5000 0.5000 0.5000 Ag
0.7500 0.7500 0.7500 Cu
0.0000 0.0000 0.0000 Ta
```

***

Crystalline TaCu2Ag at its relaxed geometry, computed with GGA-PBE.

Summary:
* size of the total moment: 0.00 μB per formula unit
* calculated volume: 66 Å³/f.u.
* DFT formation energy: 2.917 eV per formula unit

POSCAR file:
```
TaCu2Ag
1.0
-3.3217 -3.5509 5.0088
6.1189 -1.4450 3.0335
1.2028 -0.2422 5.4905
Cu Ag Ta
4 2 2
Direct
0.6263 0.1250 0.2500 Cu
0.1237 0.6250 0.2500 Cu
0.3750 0.3737 0.7500 Cu
0.8750 0.8763 0.7500 Cu
0.5000 0.5000 0.0000 Ag
0.2500 0.7500 0.5000 Ag
0.0000 0.0000 0.0000 Ta
0.7500 0.2500 0.5000 Ta
```

***

Crystalline TaCuAg4 at its relaxed geometry, computed with GGA-PBE.

Summary:
* size of the total moment: 0.00 μB per formula unit
* calculated volume: 107 Å³/f.u.
* DFT formation energy: 3.716 eV per formula unit

POSCAR file:
```
TaCuAg4
1.0
0.0000 3.7714 3.7714
3.7714 0.0000 3.7714
3.7714 3.7714 0.0000
Ta Cu Ag
1 1 4
Direct
0.0000 0.0000 0.0000 Ta
0.7500 0.7500 0.7500 Cu
0.8750 0.3750 0.3750 Ag
0.3750 0.3750 0.8750 Ag
0.3750 0.8750 0.3750 Ag
0.3750 0.3750 0.3750 Ag
```

***

Crystalline TaCu2Ag at its relaxed geometry, computed with GGA-PBE.

Summary:
* size of the total moment: 0.00 μB per formula unit
* calculated volume: 60 Å³/f.u.
* DFT formation energy: 0.915 eV per formula unit

POSCAR file:
```
TaCu2Ag
1.0
4.2854 0.0000 0.0000
0.0000 2.6916 0.0088
0.0000 1.3241 5.2333
Ag Cu Ta
1 2 1
Direct
0.5000 0.7974 0.7792 Ag
0.0000 0.1863 0.9984 Cu
0.5000 0.0598 0.2573 Cu
0.0000 0.4565 0.4651 Ta
```

***

Crystalline TaCu2Ag at its relaxed geometry, computed with GGA-PBE.

Summary:
* size of the total moment: 0.00 μB per formula unit
* calculated volume: 61 Å³/f.u.
* DFT formation energy: 0.512 eV per formula unit

POSCAR file:
```
TaCu2Ag
1.0
2.8054 0.0000 0.0000
0.0000 2.8011 0.0119
0.0000 2.7611 7.7206
Ag Cu Ta
1 2 1
Direct
0.5000 0.7500 0.7500 Ag
0.0000 0.9982 0.0014 Cu
0.0000 0.5018 0.4986 Cu
0.5000 0.2500 0.2500 Ta
```

***

Crystalline TaCu3Ag at its relaxed geometry, computed with GGA-PBE.

Summary:
* size of the total moment: 1.88 μB per formula unit
* calculated volume: 95 Å³/f.u.
* DFT formation energy: 7.116 eV per formula unit

POSCAR file:
```
TaCu3Ag
1.0
4.5614 0.0000 0.0000
0.0000 4.5614 0.0000
0.0000 0.0000 4.5614
Cu Ag Ta
3 1 1
Direct
0.0000 0.5000 0.0000 Cu
0.0000 0.0000 0.5000 Cu
0.5000 0.0000 0.0000 Cu
0.0000 0.0000 0.0000 Ag
0.5000 0.5000 0.5000 Ta
```

***

Crystalline TaCuAg at its relaxed geometry, computed with GGA-PBE.

Summary:
* size of the total moment: 0.00 μB per formula unit
* calculated volume: 48 Å³/f.u.
* DFT formation energy: 0.633 eV per formula unit

POSCAR file:
```
TaCuAg
1.0
-2.2895 1.1851 -5.7525
-0.2259 -2.2470 -5.8854
-0.4070 -0.4876 6.2717
Ag Cu Ta
1 1 1
Direct
0.0091 0.0091 0.0000 Ag
0.6685 0.6685 0.0000 Cu
0.3224 0.3224 0.0000 Ta
```

***

Crystalline Tb4CuAg at its relaxed geometry, computed with GGA-PBE.

Summary:
* size of the total moment: 0.00 μB per formula unit
* calculated volume: 173 Å³/f.u.
* DFT formation energy: 0.205 eV per formula unit

POSCAR file:
```
Tb4CuAg
1.0
0.1814 -1.1271 -6.7709
-4.2261 -5.9234 0.8728
-5.6328 4.0017 -0.1153
Tb Cu Ag
8 2 2
Direct
0.8856 0.6551 0.1608 Tb
0.6144 0.1551 0.8392 Tb
0.3228 0.3340 0.3467 Tb
0.1772 0.8340 0.6533 Tb
0.1144 0.3449 0.8392 Tb
0.3856 0.8449 0.1608 Tb
0.6772 0.6660 0.6533 Tb
0.8228 0.1660 0.3467 Tb
0.5000 0.0000 0.5000 Cu
0.0000 0.5000 0.5000 Cu
0.0000 0.0000 0.0000 Ag
0.5000 0.5000 0.0000 Ag
```

***

Crystalline TbCuAg at its relaxed geometry, computed with GGA-PBE.

Summary:
* size of the total moment: 0.00 μB per formula unit
* calculated volume: 61 Å³/f.u.
* DFT formation energy: -0.784 eV per formula unit

POSCAR file:
```
TbCuAg
1.0
-3.6663 -1.3973 3.7069
3.5154 -5.0215 1.5841
1.8752 6.1065 4.1566
Tb Cu Ag
4 4 4
Direct
0.8811 0.3084 0.1253 Tb
0.3811 0.6916 0.3747 Tb
0.1189 0.6916 0.8747 Tb
0.6189 0.3084 0.6253 Tb
0.1237 0.3332 0.4834 Cu
0.6237 0.6668 0.0166 Cu
0.8763 0.6668 0.5166 Cu
0.3763 0.3332 0.9834 Cu
0.9066 0.9142 0.2960 Ag
0.4066 0.0858 0.2040 Ag
0.0934 0.0858 0.7040 Ag
0.5934 0.9142 0.7960 Ag
```

***

Crystalline TbCu9Ag2 at its relaxed geometry, computed with GGA-PBE.

Summary:
* size of the total moment: 0.00 μB per formula unit
* calculated volume: 174 Å³/f.u.
* DFT formation energy: -1.003 eV per formula unit

POSCAR file:
```
TbCu9Ag2
1.0
-3.3144 -2.5031 -2.7733
-3.8491 -2.3103 2.1884
-6.8140 5.0722 -0.9314
Tb Cu Ag
1 9 2
Direct
0.0000 0.0000 0.0000 Tb
0.6666 0.6666 0.0002 Cu
0.3334 0.3334 0.9998 Cu
0.5000 0.5000 0.5000 Cu
0.4141 0.4141 0.2538 Cu
0.9180 0.4141 0.2538 Cu
0.4141 0.9180 0.2538 Cu
0.5859 0.5859 0.7462 Cu
0.5859 0.0820 0.7462 Cu
0.0820 0.5859 0.7462 Cu
0.8555 0.8555 0.4336 Ag
0.1445 0.1445 0.5664 Ag
```

***

Crystalline TbCuAg at its relaxed geometry, computed with GGA-PBE.

Summary:
* size of the total moment: 0.00 μB per formula unit
* calculated volume: 67 Å³/f.u.
* DFT formation energy: -0.272 eV per formula unit

POSCAR file:
```
TbCuAg
1.0
-3.0211 3.0119 1.6261
-3.5692 1.2585 -2.5534
-4.2076 -1.3681 1.1258
Tb Cu Ag
1 1 1
Direct
0.0000 0.0000 0.0000 Tb
0.2500 0.2500 0.2500 Cu
0.5000 0.5000 0.5000 Ag
```

***

Crystalline Tb3Cu4Ag2 at its relaxed geometry, computed with GGA-PBE.

Summary:
* size of the total moment: 0.00 μB per formula unit
* calculated volume: 179 Å³/f.u.
* DFT formation energy: -2.129 eV per formula unit

POSCAR file:
```
Tb3Cu4Ag2
1.0
-2.9578 3.3061 0.0458
-2.3673 -5.1058 0.8287
3.4387 2.9787 7.0536
Tb Cu Ag
3 4 2
Direct
0.6523 0.3046 0.6816 Tb
0.0000 0.0000 0.0000 Tb
0.3477 0.6954 0.3184 Tb
0.7316 0.4632 0.0527 Cu
0.2684 0.5368 0.9473 Cu
0.9328 0.8655 0.5921 Cu
0.0672 0.1345 0.4079 Cu
0.6355 0.2711 0.2963 Ag
0.3645 0.7289 0.7037 Ag
```